Record 1
Below is CsBaSmTe3 after structural relaxation, with properties calculated at the PBE level.

Computed properties:
The calculation puts the density at 3.93 g cm⁻³. The calculation puts the total energy at -24.57 eV per formula unit.

```
data_CsBaSmTe3
_chemical_formula_sum 'Cs4 Ba4 Sm4 Te12'
_space_group_name_H-M_alt 'C m c m'
_space_group_IT_number 63
_space_group_name_Hall '-C 2c 2'
_cell_length_a 4.745
_cell_length_b 21.267
_cell_length_c 13.465
_cell_angle_alpha 90.00
_cell_angle_beta 90.00
_cell_angle_gamma 90.00
loop_
_atom_site_label
_atom_site_fract_x
_atom_site_fract_y
_atom_site_fract_z
Cs1 0.000 0.156 0.250
Ba1 0.000 0.090 0.750
Sm1 0.000 0.500 0.000
Te1 0.000 0.100 0.506
Te2 0.000 0.483 0.750
```


Record 2
Below is CsBaTh after structural relaxation, with properties calculated at the PBE level.

Computed properties:
The calculation puts the density at 5.53 g cm⁻³. The calculation puts the total energy at -6.13 eV per formula unit.

```
data_CsBaTh
_chemical_formula_sum 'Cs4 Ba4 Th4'
_space_group_name_H-M_alt 'F -4 3 m'
_space_group_IT_number 216
_space_group_name_Hall 'F -4 2 3'
_cell_length_a 8.449
_cell_length_b 8.449
_cell_length_c 8.449
_cell_angle_alpha 90.00
_cell_angle_beta 90.00
_cell_angle_gamma 90.00
loop_
_atom_site_label
_atom_site_fract_x
_atom_site_fract_y
_atom_site_fract_z
Cs1 0.000 0.000 0.000
Ba1 0.250 0.250 0.750
Th1 0.250 0.250 0.250
```


Record 3
Below is CsBaU after structural relaxation, with properties calculated at the PBE level.

Computed properties:
The calculation puts the density at 5.32 g cm⁻³. The calculation puts the total energy at -8.51 eV per formula unit.

```
data_CsBaU
_chemical_formula_sum 'Cs4 Ba4 U4'
_space_group_name_H-M_alt 'F -4 3 m'
_space_group_IT_number 216
_space_group_name_Hall 'F -4 2 3'
_cell_length_a 8.592
_cell_length_b 8.592
_cell_length_c 8.592
_cell_angle_alpha 90.00
_cell_angle_beta 90.00
_cell_angle_gamma 90.00
loop_
_atom_site_label
_atom_site_fract_x
_atom_site_fract_y
_atom_site_fract_z
Cs1 0.000 0.000 0.000
Ba1 0.250 0.250 0.750
U1 0.250 0.250 0.250
```


Record 4
Below is CsBaU after structural relaxation, with properties calculated at the PBE level.

Computed properties:
The calculation puts the density at 4.57 g cm⁻³. The calculation puts the total energy at -8.80 eV per formula unit.

```
data_CsBaU
_chemical_formula_sum 'Cs4 Ba4 U4'
_space_group_name_H-M_alt 'F -4 3 m'
_space_group_IT_number 216
_space_group_name_Hall 'F -4 2 3'
_cell_length_a 9.040
_cell_length_b 9.040
_cell_length_c 9.040
_cell_angle_alpha 90.00
_cell_angle_beta 90.00
_cell_angle_gamma 90.00
loop_
_atom_site_label
_atom_site_fract_x
_atom_site_fract_y
_atom_site_fract_z
Cs1 0.000 0.000 0.000
Ba1 0.000 0.000 0.500
U1 0.250 0.250 0.750
```


Record 5
Below is CsBaZn after structural relaxation, with properties calculated at the PBE level.

Computed properties:
The calculation puts the density at 3.84 g cm⁻³. The calculation puts the total energy at -2.70 eV per formula unit.

```
data_CsBaZn
_chemical_formula_sum 'Cs4 Ba4 Zn4'
_space_group_name_H-M_alt 'F -4 3 m'
_space_group_IT_number 216
_space_group_name_Hall 'F -4 2 3'
_cell_length_a 8.341
_cell_length_b 8.341
_cell_length_c 8.341
_cell_angle_alpha 90.00
_cell_angle_beta 90.00
_cell_angle_gamma 90.00
loop_
_atom_site_label
_atom_site_fract_x
_atom_site_fract_y
_atom_site_fract_z
Cs1 0.000 0.000 0.000
Ba1 0.250 0.250 0.250
Zn1 0.000 0.000 0.500
```


Record 6
Below is CsBaZn after structural relaxation, with properties calculated at the PBE level.

Computed properties:
The calculation puts the density at 4.08 g cm⁻³. The calculation puts the total energy at -2.50 eV per formula unit.

```
data_CsBaZn
_chemical_formula_sum 'Cs4 Ba4 Zn4'
_space_group_name_H-M_alt 'F -4 3 m'
_space_group_IT_number 216
_space_group_name_Hall 'F -4 2 3'
_cell_length_a 8.176
_cell_length_b 8.176
_cell_length_c 8.176
_cell_angle_alpha 90.00
_cell_angle_beta 90.00
_cell_angle_gamma 90.00
loop_
_atom_site_label
_atom_site_fract_x
_atom_site_fract_y
_atom_site_fract_z
Cs1 0.000 0.000 0.000
Ba1 0.250 0.250 0.750
Zn1 0.250 0.250 0.250
```


Record 7
Below is BaCu after structural relaxation, with properties calculated at the PBE level.

Computed properties:
The calculation puts the density at 3.73 g cm⁻³. The calculation puts the total energy at -4.72 eV per formula unit.

```
data_BaCu
_chemical_formula_sum 'Ba4 Cu4'
_space_group_name_H-M_alt 'F -4 3 m'
_space_group_IT_number 216
_space_group_name_Hall 'F -4 2 3'
_cell_length_a 7.101
_cell_length_b 7.101
_cell_length_c 7.101
_cell_angle_alpha 90.00
_cell_angle_beta 90.00
_cell_angle_gamma 90.00
loop_
_atom_site_label
_atom_site_fract_x
_atom_site_fract_y
_atom_site_fract_z
Ba1 0.000 0.000 0.000
Cu1 0.250 0.250 0.750
```


Record 8
Below is BaCu after structural relaxation, with properties calculated at the PBE level.

Computed properties:
The calculation puts the density at 4.95 g cm⁻³. The calculation puts the total energy at -5.39 eV per formula unit.

```
data_BaCu
_chemical_formula_sum 'Ba4 Cu4'
_space_group_name_H-M_alt 'F m -3 m'
_space_group_IT_number 225
_space_group_name_Hall '-F 4 2 3'
_cell_length_a 6.461
_cell_length_b 6.461
_cell_length_c 6.461
_cell_angle_alpha 90.00
_cell_angle_beta 90.00
_cell_angle_gamma 90.00
loop_
_atom_site_label
_atom_site_fract_x
_atom_site_fract_y
_atom_site_fract_z
Ba1 0.000 0.000 0.000
Cu1 0.000 0.000 0.500
```


Record 9
Below is BaCu after structural relaxation, with properties calculated at the PBE level.

Computed properties:
The calculation puts the density at 4.86 g cm⁻³. The calculation puts the total energy at -5.39 eV per formula unit.

```
data_BaCu
_chemical_formula_sum 'Ba3 Cu3'
_space_group_name_H-M_alt 'R -3 m'
_space_group_IT_number 166
_space_group_name_Hall '-R 3 2"'
_cell_length_a 4.4356
_cell_length_b 4.4356
_cell_length_c 12.0775
_cell_angle_alpha 90.00
_cell_angle_beta 90.00
_cell_angle_gamma 120.00
loop_
_atom_site_label
_atom_site_fract_x
_atom_site_fract_y
_atom_site_fract_z
Ba1 0.0000 0.0000 0.0000
Cu1 0.0000 0.0000 0.5000
```


Record 10
Below is Ba3Cu2 after structural relaxation, with properties calculated at the PBE level.

Computed properties:
The calculation puts the density at 4.92 g cm⁻³. The calculation puts the total energy at -13.15 eV per formula unit.

```
data_Ba3Cu2
_chemical_formula_sum 'Ba6 Cu4'
_space_group_name_H-M_alt 'P 4/m b m'
_space_group_IT_number 127
_space_group_name_Hall '-P 4 2ab'
_cell_length_a 8.672
_cell_length_b 8.672
_cell_length_c 4.840
_cell_angle_alpha 90.00
_cell_angle_beta 90.00
_cell_angle_gamma 90.00
loop_
_atom_site_label
_atom_site_fract_x
_atom_site_fract_y
_atom_site_fract_z
Ba1 0.000 0.000 0.000
Ba2 0.166 0.334 0.500
Cu1 0.104 0.604 0.000
```


Record 11
Below is BaDyCu after structural relaxation, with properties calculated at the PBE level.

Computed properties:
The calculation puts the density at 6.09 g cm⁻³. The calculation puts the total energy at -9.30 eV per formula unit.

```
data_BaDyCu
_chemical_formula_sum 'Ba4 Dy4 Cu4'
_space_group_name_H-M_alt 'F -4 3 m'
_space_group_IT_number 216
_space_group_name_Hall 'F -4 2 3'
_cell_length_a 7.347
_cell_length_b 7.347
_cell_length_c 7.347
_cell_angle_alpha 90.00
_cell_angle_beta 90.00
_cell_angle_gamma 90.00
loop_
_atom_site_label
_atom_site_fract_x
_atom_site_fract_y
_atom_site_fract_z
Ba1 0.000 0.000 0.000
Dy1 0.000 0.000 0.500
Cu1 0.250 0.250 0.250
```


Record 12
Below is BaDyCu after structural relaxation, with properties calculated at the PBE level.

Computed properties:
The calculation puts the density at 6.44 g cm⁻³. The calculation puts the total energy at -7.48 eV per formula unit.

```
data_BaDyCu
_chemical_formula_sum 'Ba4 Dy4 Cu4'
_space_group_name_H-M_alt 'F -4 3 m'
_space_group_IT_number 216
_space_group_name_Hall 'F -4 2 3'
_cell_length_a 7.212
_cell_length_b 7.212
_cell_length_c 7.212
_cell_angle_alpha 90.00
_cell_angle_beta 90.00
_cell_angle_gamma 90.00
loop_
_atom_site_label
_atom_site_fract_x
_atom_site_fract_y
_atom_site_fract_z
Ba1 0.000 0.000 0.000
Dy1 0.250 0.250 0.250
Cu1 0.250 0.250 0.750
```